No. 1
## KCaLa2Ir (GGA-PBE)

Data for a relaxed KCaLa2Ir crystal.

```
KCaLa2Ir
1.0
5.675 0.000 0.000
0.000 5.675 0.000
0.000 0.000 6.002
K Ca La Ir
1 1 2 1
direct
0.000 0.000 0.000
0.500 0.500 0.000
0.000 0.500 0.500
0.500 0.000 0.500
0.500 0.500 0.500
```

Calculated volume ... 38.67 A^3/atom
Symmetry ... P4/mmm, No. 123
Polymorph energy (0 for the lowest one) ... 0.00 eV/f.u.
ρ ... 4.717 g/cm3

No. 2
## La6Al2Pd (GGA-PBE)

Data for a relaxed La6Al2Pd crystal.

```
La6Al2Pd
1.0
8.970 0.000 0.000
-4.485 7.768 0.000
0.000 0.000 3.866
La Al Pd
6 2 1
direct
0.000 0.404 0.000
0.000 0.743 0.500
0.257 0.257 0.500
0.404 0.000 0.000
0.596 0.596 0.000
0.743 0.000 0.500
0.333 0.667 0.500
0.667 0.333 0.500
0.000 0.000 0.000
```

Calculated volume ... 29.93 A^3/atom
Symmetry ... P-62m, No. 189
VASP energy ... -5.0309 eV per atom
ρ ... 6.126 g/cm3

No. 3
## CsNa2Tl2Pb2 (GGA-PBE)

Data for a relaxed CsNa2Tl2Pb2 crystal.

```
CsNa2Tl2Pb2
1.0
5.249 -2.671 0.000
5.249 2.671 0.000
-1.111 0.000 9.315
Cs Na Tl Pb
1 2 2 2
direct
0.000 0.000 0.000
0.112 0.112 0.410
0.888 0.888 0.590
0.273 0.273 0.731
0.727 0.727 0.269
0.412 0.412 0.346
0.588 0.588 0.654
```

Calculated volume ... 37.32 A^3/atom
Symmetry ... C2/m, No. 12
VASP energy ... -2.3359 eV per atom
ρ ... 6.370 g/cm3

No. 4
## Pm3AsF (GGA-PBE)

Data for a relaxed Pm3AsF crystal.

```
Pm3AsF
1.0
4.867 0.000 0.000
0.000 4.867 0.000
0.000 0.000 4.867
Pm As F
3 1 1
direct
0.000 0.000 0.500
0.000 0.500 0.000
0.500 0.000 0.000
0.500 0.500 0.500
0.000 0.000 0.000
```

Calculated volume ... 23.06 A^3/atom
Formation energy (no corrections) ... -1.1393 eV/atom
Symmetry ... Pm-3m, No. 221
ρ ... 7.616 g/cm3